Record 1
First-principles (PBE) data for a relaxed NaDyCdS3 crystal, as listed in the Open Quantum Materials Database.

abc: 7.9262 4.0179 10.5543
angles: 90.00 108.27 90.00
Last column: nearest neighbours and their distance in Å.
Fractional positions:
Na 0.1908 0.2500 0.1486  5 S 2.87-2.92
Na 0.8092 0.7500 0.8514  5 S 2.87-2.92
Dy 0.3237 0.7500 0.8592  6 S 2.71-2.82
Dy 0.6763 0.2500 0.1408  6 S 2.71-2.82
Cd 0.0566 0.2500 0.6155  4 S 2.51-2.60
Cd 0.9434 0.7500 0.3845  4 S 2.51-2.60
S 0.0748 0.2500 0.8569  1 Cd 2.51
S 0.2417 0.7500 0.5792  3 Cd 2.59-2.60, 1 Dy 2.82
S 0.4403 0.7500 0.1298  3 Dy 2.71-2.72, 2 Na 2.87
S 0.5597 0.2500 0.8702  3 Dy 2.71-2.72, 2 Na 2.87
S 0.7583 0.2500 0.4208  3 Cd 2.59-2.60, 1 Dy 2.82
S 0.9252 0.7500 0.1431  1 Cd 2.51

Computed properties:
Electronic total energy (eV for the cell shown): -54.418

Record 2
First-principles (PBE) data for a relaxed PrSeS crystal, as listed in the Open Quantum Materials Database.

abc: 8.3999 4.1179 8.2730
angles: 90.00 90.11 90.00
Last column: nearest neighbours and their distance in Å.
Fractional positions:
Pr 0.2129 0.2251 0.3735  5 S 2.91-3.10, 4 Se 3.08-3.25
Pr 0.2129 0.2749 0.8735  5 S 2.91-3.10, 4 Se 3.08-3.25
Pr 0.7871 0.7251 0.1265  5 S 2.91-3.10, 4 Se 3.08-3.25
Pr 0.7871 0.7749 0.6265  5 S 2.91-3.10, 4 Se 3.08-3.25
Se 0.4986 0.6929 0.3798  1 Se 2.55
Se 0.4986 0.8071 0.8798  1 Se 2.55
Se 0.5014 0.1929 0.1202  1 Se 2.55
Se 0.5014 0.3071 0.6202  1 Se 2.55
S 0.1335 0.7431 0.1254  5 Pr 2.91-3.10
S 0.1335 0.7569 0.6254  5 Pr 2.91-3.10
S 0.8665 0.2431 0.3746  5 Pr 2.91-3.10
S 0.8665 0.2569 0.8746  5 Pr 2.91-3.10

Computed properties:
Electronic total energy (eV for the cell shown): -70.064

Record 3
First-principles (PBE) data for a relaxed Y2Hf2O5 crystal, as listed in the Open Quantum Materials Database.

abc: 4.0822 4.0822 7.3598
angles: 90.00 90.00 90.00
Last column: nearest neighbours and their distance in Å.
Fractional positions:
Y 0.0000 0.0000 0.0000  8 O 2.77
Y 0.0000 0.0000 0.5000  12 O 2.73-2.89
Hf 0.5000 0.5000 0.2186  5 O 2.06-2.07
Hf 0.5000 0.5000 0.7814  5 O 2.06-2.07
O 0.0000 0.5000 0.2540  2 Hf 2.06
O 0.0000 0.5000 0.7460  2 Hf 2.06
O 0.5000 0.0000 0.2540  2 Hf 2.06
O 0.5000 0.0000 0.7460  2 Hf 2.06
O 0.5000 0.5000 0.5000  2 Hf 2.07

Computed properties:
Electronic total energy (eV for the cell shown): -82.241

no.,energy above the most stable polymorph in this dataset (eV/atom),magnetic moment (μB per atom)
1,0.008,0.00
2,0.000,0.00
3,0.000,0.00